# 1
Material: Tl2FeAs
Method: DFT, PBE
State: relaxed

Cell: 4.9151 4.9151 4.9151 Å, 60.00 60.00 60.00°
With the nearest neighbours (Å) after each atom.
Positions (direct):
Tl 0.2500 0.2500 0.2500  4 As 3.01, 4 Fe 3.01
Tl 0.7500 0.7500 0.7500  4 As 3.01, 4 Fe 3.01
As 0.5000 0.5000 0.5000  8 Tl 3.01
Fe 0.0000 0.0000 0.0000  8 Tl 3.01

## Properties
Space group   No. 225
Magnetic moment   0.00 μB/cell
Density of states at the Fermi level   7.2 states/eV per cell
Formation enthalpy at 0 K   0.8880 eV/atom


# 2
Material: VFe
Method: DFT, PBE
State: relaxed

Cell: 6.7710 6.7710 6.7710 Å, 90.00 90.00 90.00°
With the nearest neighbours (Å) after each atom.
Positions (direct):
Fe 0.1293 0.1293 0.8707  1 V 1.99
Fe 0.3707 0.3707 0.3707  1 V 1.99
Fe 0.1293 0.8707 0.1293  1 V 1.99
Fe 0.6293 0.3707 0.6293  1 V 1.99
Fe 0.8707 0.8707 0.8707  1 V 1.99
Fe 0.3707 0.6293 0.6293  1 V 1.99
Fe 0.6293 0.6293 0.3707  1 V 1.99
Fe 0.8707 0.1293 0.1293  1 V 1.99
V 0.2993 0.7007 0.2993  1 Fe 1.99
V 0.2007 0.7993 0.7993  1 Fe 1.99
V 0.7993 0.7993 0.2007  1 Fe 1.99
V 0.7007 0.2993 0.2993  1 Fe 1.99
V 0.7993 0.2007 0.7993  1 Fe 1.99
V 0.2007 0.2007 0.2007  1 Fe 1.99
V 0.7007 0.7007 0.7007  1 Fe 1.99
V 0.2993 0.2993 0.7007  1 Fe 1.99

## Properties
Space group   No. 217
Magnetic moment   0.02 μB/cell
Density of states at the Fermi level   24.5 states/eV per cell
Formation enthalpy at 0 K   1.4297 eV/atom


# 3
Material: MnAg2Hg
Method: DFT, PBE
State: relaxed

Cell: 2.9959 2.9959 8.2458 Å, 90.00 90.00 89.94°
With the nearest neighbours (Å) after each atom.
Positions (direct):
Ag 0.0000 0.0000 0.5243  4 Mn 2.82, 4 Ag 3.00, 4 Hg 3.10
Ag 0.0000 0.0000 0.9757  4 Mn 2.82, 4 Ag 3.00, 4 Hg 3.10
Mn 0.5000 0.5000 0.7500  8 Ag 2.82, 4 Mn 3.00
Hg 0.5000 0.5000 0.2500  4 Hg 3.00, 8 Ag 3.10

## Properties
Space group   No. 123
Magnetic moment   4.00 μB/cell
Density of states at the Fermi level   1.5 states/eV per cell
Formation enthalpy at 0 K   0.2041 eV/atom


# 4
Material: Y3PaSe6
Method: DFT, PBE
State: relaxed

Cell: 4.0675 11.5607 11.8482 Å, 108.27 90.00 90.00°
With the nearest neighbours (Å) after each atom.
Positions (direct):
Se 0.7500 0.8084 0.7484  3 Y 2.82-2.84, 1 Pa 2.99
Se 0.2500 0.5184 0.3819  4 Y 2.82-3.03
Se 0.2500 0.8875 0.5356  3 Pa 2.99-3.08, 2 Y 3.08
Se 0.7500 0.1125 0.4644  3 Pa 2.99-3.08, 2 Y 3.08
Se 0.2500 0.2505 0.7220  3 Y 2.90-2.99, 2 Pa 3.07
Se 0.7500 0.9170 0.1006  3 Y 2.87-2.88, 2 Pa 3.07
Se 0.2500 0.6028 0.9331  4 Y 2.82-2.87
Se 0.7500 0.3972 0.0669  4 Y 2.82-2.87
Se 0.7500 0.4816 0.6181  4 Y 2.82-3.03
Se 0.7500 0.7495 0.2780  3 Y 2.90-2.99, 2 Pa 3.07
Se 0.2500 0.0830 0.8994  3 Y 2.87-2.88, 2 Pa 3.07
Se 0.2500 0.1916 0.2516  3 Y 2.82-2.84, 1 Pa 2.99
Y 0.2500 0.8421 0.9207  6 Se 2.82-2.88
Y 0.7500 0.6795 0.5009  7 Se 2.82-3.08
Y 0.7500 0.1579 0.0793  6 Se 2.82-2.88
Y 0.2500 0.5729 0.1650  6 Se 2.83-2.90
Y 0.2500 0.3205 0.4991  7 Se 2.82-3.08
Y 0.7500 0.4271 0.8350  6 Se 2.83-2.90
Pa 0.2500 0.9545 0.3032  8 Se 2.99-3.08
Pa 0.7500 0.0455 0.6968  8 Se 2.99-3.08

## Properties
Space group   No. 11
E   -6.7084 eV per atom
Magnetic moment   2.99 μB/cell
Density of states at the Fermi level   11.2 states/eV per cell


# 5
Material: HoAgP2O8
Method: DFT, PBE
State: relaxed

Cell: 5.8163 5.8163 5.8163 Å, 106.08 106.08 116.50°
With the nearest neighbours (Å) after each atom.
Positions (direct):
Ag 0.0000 0.0000 0.0000  8 O 2.37-2.45
O 0.9154 0.5840 0.6686  1 P 1.55
O 0.3463 0.5227 0.1763  1 P 1.55
O 0.8300 0.6537 0.1763  1 P 1.55
O 0.9154 0.2467 0.3314  1 P 1.55
O 0.7533 0.0846 0.6686  1 P 1.55
O 0.4773 0.6537 0.8237  1 P 1.55
O 0.4160 0.0846 0.3314  1 P 1.55
O 0.3463 0.1700 0.8237  1 P 1.55
Ho 0.2500 0.7500 0.5000  8 O 2.34-2.36
P 0.5000 0.5000 0.0000  4 O 1.55
P 0.7500 0.2500 0.5000  4 O 1.55

## Properties
Space group   No. 119
E   -6.8485 eV per atom
Magnetic moment   2.07 μB/cell
Density of states at the Fermi level   7.0 states/eV per cell


# 6
Material: La4Ag2Ru
Method: DFT, PBE
State: relaxed

Cell: 4.4151 6.4976 7.9903 Å, 102.19 106.04 90.00°
With the nearest neighbours (Å) after each atom.
Positions (direct):
La 0.8504 0.1745 0.7009  1 Ru 2.78
La 0.4257 0.7286 0.8515  2 Ru 2.90
La 0.1496 0.8255 0.2991  1 Ru 2.78
La 0.5743 0.2714 0.1485  2 Ru 2.90
Ru 0.0000 0.0000 0.0000  6 La 2.78-2.90
Ag 0.7667 0.6473 0.5334  2 Ag 2.89, 2 La 3.22
Ag 0.2333 0.3527 0.4666  2 Ag 2.89, 2 La 3.22

## Properties
Space group   No. 12
Magnetic moment   0.00 μB/cell
Density of states at the Fermi level   6.4 states/eV per cell
Formation enthalpy at 0 K   -0.2379 eV/atom